1.
First-principles (PBE-GGA) data for a relaxed structure of LaPtCl2, as listed in the Alexandria database.

```
LaPtCl2
1.0
-0.417 -1.922 3.783
5.314 0.429 0.803
1.987 4.378 2.443
Cl Pt La
2 1 1
Cartesian
7.042 4.641 3.134
1.768 0.337 2.769
5.118 2.541 4.258
3.908 2.577 1.740
```

Results
Raw total energy   -4.93 eV/atom
Size of the total moment   0.00 μB per cell
Excess energy over the best structure of this formula in the dataset   0.00 eV/f.u.
N(E_F)   0.49 states/eV per cell
Formation energy (no corrections)   -1.265 eV/atom

=====

2.
First-principles (PBE-GGA) data for a relaxed structure of LaPt3Cl, as listed in the Alexandria database.

```
LaPt3Cl
1.0
4.740 0.000 0.000
0.000 4.740 0.000
0.000 0.000 4.740
Cl Pt La
1 3 1
Cartesian
0.000 0.000 0.000
0.000 2.370 0.000
0.000 0.000 2.370
2.370 0.000 0.000
2.370 2.370 2.370
```

Results
Raw total energy   -4.95 eV/atom
Size of the total moment   0.00 μB per cell
Excess energy over the best structure of this formula in the dataset   0.00 eV/f.u.
N(E_F)   2.27 states/eV per cell
Formation energy (no corrections)   0.034 eV/atom

=====

3.
First-principles (PBE-GGA) data for a relaxed structure of LaPt4Cl, as listed in the Alexandria database.

```
LaPt4Cl
1.0
0.000 3.862 3.862
3.862 0.000 3.862
3.862 3.862 0.000
La Pt Cl
1 4 1
Cartesian
0.000 0.000 0.000
2.898 4.826 4.826
4.826 4.826 2.898
4.826 2.898 4.826
2.898 2.898 2.898
5.793 5.793 5.793
```

Results
Raw total energy   -5.87 eV/atom
Size of the total moment   0.00 μB per cell
N(E_F)   2.30 states/eV per cell
Formation energy (no corrections)   -0.712 eV/atom

=====

4.
First-principles (PBE-GGA) data for a relaxed structure of La4Pt3Cl, as listed in the Alexandria database.

```
La4Pt3Cl
1.0
4.256 -0.053 0.072
0.055 7.162 2.040
-0.121 0.366 7.438
Cl Pt La
1 3 4
Cartesian
2.035 3.922 8.494
2.067 0.158 3.755
4.256 -0.053 0.072
4.223 3.712 4.811
4.210 5.705 7.093
2.140 5.510 3.517
4.237 1.720 2.529
2.050 1.967 6.034
```

Results
Raw total energy   -6.27 eV/atom
Size of the total moment   0.00 μB per cell
N(E_F)   5.35 states/eV per cell
Formation energy (no corrections)   -1.313 eV/atom

=====

Please write out number 2 again, unchanged.
First-principles (PBE-GGA) data for a relaxed structure of LaPt3Cl, as listed in the Alexandria database.

```
LaPt3Cl
1.0
4.740 0.000 0.000
0.000 4.740 0.000
0.000 0.000 4.740
Cl Pt La
1 3 1
Cartesian
0.000 0.000 0.000
0.000 2.370 0.000
0.000 0.000 2.370
2.370 0.000 0.000
2.370 2.370 2.370
```

Results
Raw total energy   -4.95 eV/atom
Size of the total moment   0.00 μB per cell
Excess energy over the best structure of this formula in the dataset   0.00 eV/f.u.
N(E_F)   2.27 states/eV per cell
Formation energy (no corrections)   0.034 eV/atom